Entry from Alexandria: KAs2OsSe after structural relaxation (GGA-PBE).

a = 5.0850 Å, b = 5.0850 Å, c = 5.2098 Å
α = 90.00°, β = 90.00°, γ = 90.00°
Positions (direct):
Se1 0.0000 0.0000 0.5000
Os1 0.5000 0.5000 0.5000
As1 0.5000 0.0000 0.0000
As2 0.0000 0.5000 0.0000
K1 0.0000 0.0000 0.0000

Values from the calculation:
- Formation energy from raw total energies: 2568 meV/atom
- DFT total energy: -2.4541 eV per atom
- Theoretical density: 5.65 Mg/m³